A relaxed structure of PmErPt. Source: the Alexandria database, functional GGA-PBE.

Summary:
ΔE_f: -820 meV/atom
VASP energy: -5.9377 eV/atom
D(E_F): 2.0 states/eV/cell

Lattice parameters (Å, degrees): 4.9100 4.9100 4.9100 60.00 60.00 60.00
Element x y z (fractional)
Er  0.5000  0.5000  0.5000
Pt  0.2500  0.2500  0.2500
Pm  0.0000  0.0000  0.0000



A relaxed structure of Ca2LaPt. Source: the Alexandria database, functional GGA-PBE.

Summary:
ΔE_f: -541 meV/atom
VASP energy: -4.2840 eV/atom
D(E_F): 3.0 states/eV/cell

Lattice parameters (Å, degrees): 3.6955 3.6955 9.4796 90.00 90.00 90.00
Element x y z (fractional)
Pt  0.5000  0.5000  0.7406
Ca  0.5000  0.5000  0.2490
La  0.0000  0.0000  0.5789
Ca  0.0000  0.0000  0.9315



A relaxed structure of Nd2Y3Ho6Zr. Source: the Alexandria database, functional GGA-PBE.

Summary:
ΔE_f: 54 meV/atom
VASP energy: -5.3575 eV/atom
D(E_F): 15.6 states/eV/cell

Lattice parameters (Å, degrees): 6.1125 6.1125 11.6942 94.97 94.97 119.94
Element x y z (fractional)
Y  0.5000  0.5000  0.5000
Ho  0.2437  0.2437  0.7538
Nd  0.3333  0.6667  0.0000
Ho  0.9176  0.5913  0.7536
Nd  0.6667  0.3333  0.0000
Y  0.1664  0.8336  0.5000
Ho  0.0824  0.4087  0.2464
Ho  0.7563  0.7563  0.2462
Y  0.8336  0.1664  0.5000
Zr  0.0000  0.0000  0.0000
Ho  0.4087  0.0824  0.2464
Ho  0.5913  0.9176  0.7536



A relaxed structure of NbHRh3. Source: the Alexandria database, functional GGA-PBE.

Summary:
VASP energy: -7.1066 eV/atom
D(E_F): 16.6 states/eV/cell

Lattice parameters (Å, degrees): 7.3321 7.3321 7.3321 60.00 60.00 60.00
Element x y z (fractional)
H  0.1250  0.1250  0.6250
Rh  0.8045  0.1955  0.8045
Rh  0.1955  0.8045  0.8045
H  0.1250  0.1250  0.1250
Rh  0.1955  0.1955  0.8045
Rh  0.1955  0.8045  0.1955
Nb  0.1250  0.6250  0.6250
Rh  0.4455  0.0545  0.4455
Rh  0.4455  0.4455  0.0545
Nb  0.6250  0.6250  0.6250
Rh  0.0545  0.0545  0.4455
H  0.1250  0.6250  0.1250
Rh  0.0545  0.4455  0.0545
Rh  0.0545  0.4455  0.4455
H  0.6250  0.1250  0.1250
Rh  0.4455  0.0545  0.0545
Rh  0.8045  0.1955  0.1955
Rh  0.8045  0.8045  0.1955
Nb  0.6250  0.1250  0.6250
Nb  0.6250  0.6250  0.1250



A relaxed structure of InPt2Au2. Source: the Alexandria database, functional GGA-PBE.

Summary:
ΔE_f: 41 meV/atom
VASP energy: -4.2335 eV/atom
D(E_F): 5.3 states/eV/cell

Lattice parameters (Å, degrees): 7.2166 7.2166 3.5896 90.00 90.00 90.00
Element x y z (fractional)
Pt  0.3436  0.1564  0.5000
Au  0.6412  0.1412  0.0000
Pt  0.1564  0.6564  0.5000
In  0.0000  0.0000  0.0000
Au  0.3588  0.8588  0.0000
In  0.5000  0.5000  0.0000
Au  0.8588  0.6412  0.0000
Pt  0.6564  0.8436  0.5000
Au  0.1412  0.3588  0.0000
Pt  0.8436  0.3436  0.5000



A relaxed structure of ZrAsP. Source: the Alexandria database, functional GGA-PBE.

Summary:
ΔE_f: -378 meV/atom
VASP energy: -6.5801 eV/atom
D(E_F): 0.8 states/eV/cell

Lattice parameters (Å, degrees): 4.3934 4.3934 3.5374 90.00 90.00 120.00
Element x y z (fractional)
As  0.0000  0.0000  0.9999
P  0.6667  0.3333  0.5002
Zr  0.3333  0.6667  0.4999



Copy entry 6 word for word.
A relaxed structure of ZrAsP. Source: the Alexandria database, functional GGA-PBE.

Summary:
ΔE_f: -378 meV/atom
VASP energy: -6.5801 eV/atom
D(E_F): 0.8 states/eV/cell

Lattice parameters (Å, degrees): 4.3934 4.3934 3.5374 90.00 90.00 120.00
Element x y z (fractional)
As  0.0000  0.0000  0.9999
P  0.6667  0.3333  0.5002
Zr  0.3333  0.6667  0.4999



Q: Which value of VASP energy does entry 6 give?
A: -6.5801 eV/atom



Q: The highest VASP energy belongs to which entry?
A: InPt2Au2